A plane-wave DFT calculation with PBE-GGA was carried out for Pm3Pu5Te12 after structural relaxation.

Raw formation energy: -0.876 eV/atom
Total magnetic moment: 100.0 Bohr magnetons per cell
Total energy: -564.5 eV per cell

abc: 15.903 15.903 15.903
angles: 109.47 109.47 109.47
Fractional positions:
Te (0.827, 0.923, 0.053)
Pu (0.625, 0.750, 0.875)
Pu (0.250, 0.875, 0.125)
Te (0.596, 0.870, 0.423)
Te (0.077, 0.904, 0.130)
Te (0.404, 0.274, 0.327)
Te (0.404, 0.130, 0.577)
Te (0.673, 0.226, 0.596)
Te (0.923, 0.827, 0.553)
Te (0.553, 0.327, 0.923)
Te (0.904, 0.827, 0.774)
Pu (0.500, 0.000, 0.500)
Te (0.053, 0.630, 0.726)
Pu (0.500, 0.500, 0.500)
Pu (0.750, 0.625, 0.375)
Pm (0.375, 0.750, 0.625)
Te (0.596, 0.726, 0.673)
Te (0.173, 0.077, 0.947)
Pm (0.125, 0.250, 0.875)
Te (0.726, 0.596, 0.173)
Te (0.370, 0.423, 0.096)
Te (0.447, 0.774, 0.870)
Te (0.947, 0.577, 0.173)
Te (0.053, 0.423, 0.827)
Pu (0.875, 0.625, 0.750)
Te (0.077, 0.173, 0.447)
Pu (0.625, 0.875, 0.250)
Pu (0.000, 0.500, 0.000)
Te (0.226, 0.673, 0.096)
Te (0.630, 0.577, 0.904)
Pu (0.750, 0.125, 0.875)
Pm (0.625, 0.250, 0.375)
Te (0.327, 0.553, 0.423)
Te (0.274, 0.404, 0.827)
Pu (0.250, 0.375, 0.625)
Pu (0.000, 0.500, 0.500)
Pm (0.875, 0.750, 0.125)
Te (0.423, 0.370, 0.596)
Pm (0.625, 0.375, 0.750)
Pu (0.375, 0.250, 0.125)
Te (0.423, 0.053, 0.327)
Pu (0.000, 0.000, 0.500)
Pu (0.500, 0.500, 0.000)
Te (0.870, 0.596, 0.923)
Pu (0.125, 0.375, 0.250)
Te (0.923, 0.096, 0.870)
Te (0.577, 0.947, 0.673)
Pm (0.250, 0.125, 0.375)
Te (0.577, 0.630, 0.404)
Te (0.774, 0.447, 0.370)
Te (0.870, 0.274, 0.447)
Te (0.553, 0.226, 0.130)
Te (0.904, 0.077, 0.630)
Pu (0.125, 0.750, 0.375)
Pu (0.375, 0.125, 0.750)
Te (0.173, 0.096, 0.726)
Te (0.370, 0.947, 0.774)
Te (0.226, 0.553, 0.630)
Pu (0.500, 0.000, 0.000)
Te (0.447, 0.673, 0.077)
Te (0.827, 0.904, 0.274)
Te (0.096, 0.173, 0.226)
Te (0.130, 0.726, 0.553)
Pu (0.875, 0.250, 0.625)
Te (0.630, 0.053, 0.226)
Pm (0.125, 0.875, 0.750)
Te (0.726, 0.130, 0.053)
Te (0.327, 0.774, 0.404)
Pm (0.250, 0.625, 0.875)
Te (0.947, 0.370, 0.274)
Pu (0.000, 0.000, 0.000)
Te (0.774, 0.327, 0.904)
Te (0.096, 0.923, 0.370)
Pm (0.750, 0.375, 0.125)
Te (0.673, 0.447, 0.577)
Te (0.130, 0.404, 0.077)
Pm (0.875, 0.125, 0.250)
Pm (0.375, 0.625, 0.250)
Pm (0.750, 0.875, 0.625)
Te (0.274, 0.870, 0.947)